Entry 1:
First-principles (GGA-PBE) data for AlBPt after structural relaxation, as listed in OQMD via LeMat-Bulk.

Structure (POSCAR):
```
AlBPt
1.0
0.000 2.765 2.765
2.765 0.000 2.765
2.765 2.765 0.000
Al B Pt
1 1 1
Direct
0.000 0.000 0.000
0.750 0.750 0.750
0.250 0.250 0.250
```

Results
uncorrected energy: -0.189 Ha/atom

***

Entry 2:
First-principles (GGA-PBE) data for GdReSn after structural relaxation, as listed in OQMD via LeMat-Bulk.

Structure (POSCAR):
```
GdReSn
1.0
0.000 3.419 3.419
3.419 0.000 3.419
3.419 3.419 0.000
Gd Re Sn
1 1 1
Direct
0.000 0.000 0.000
0.750 0.750 0.750
0.250 0.250 0.250
```

Results
uncorrected energy: -0.216 Ha/atom

***

Entry 3:
First-principles (GGA-PBE) data for Li4CdGa2Hg after structural relaxation, as listed in OQMD via LeMat-Bulk.

Structure (POSCAR):
```
Li4CdGa2Hg
1.0
4.545 0.000 0.000
0.000 4.545 0.000
0.000 0.000 6.397
Li Cd Ga Hg
4 1 2 1
Direct
0.000 0.000 0.000
0.000 0.500 0.748
0.500 0.000 0.252
0.500 0.500 0.500
0.500 0.500 0.000
0.000 0.500 0.250
0.500 0.000 0.750
0.000 0.000 0.500
```

Results
uncorrected energy: -0.080 Ha/atom

***

Entry 4:
First-principles (GGA-PBE) data for KNaNdOsO5 after structural relaxation, as listed in OQMD via LeMat-Bulk.

Structure (POSCAR):
```
KNaNdOsO5
1.0
5.742 0.000 0.000
0.000 5.742 0.000
0.000 0.000 8.032
K Na Nd Os O
2 2 2 2 10
Direct
0.250 0.750 0.000
0.750 0.250 0.000
0.250 0.250 0.231
0.750 0.750 0.769
0.250 0.750 0.500
0.750 0.250 0.500
0.250 0.250 0.729
0.750 0.750 0.271
0.014 0.014 0.678
0.014 0.486 0.678
0.250 0.250 0.960
0.486 0.014 0.678
0.486 0.486 0.678
0.514 0.514 0.322
0.514 0.986 0.322
0.750 0.750 0.040
0.986 0.514 0.322
0.986 0.986 0.322
```

Results
uncorrected energy: -0.244 Ha/atom

***

Entry 5:
First-principles (GGA-PBE) data for CuNiAsPd after structural relaxation, as listed in OQMD via LeMat-Bulk.

Structure (POSCAR):
```
CuNiAsPd
1.0
0.000 3.006 3.006
3.006 0.000 3.006
3.006 3.006 0.000
Cu Ni As Pd
1 1 1 1
Direct
0.000 0.000 0.000
0.500 0.500 0.500
0.250 0.250 0.250
0.750 0.750 0.750
```

Results
offset from the most stable computed form: 0 meV per atom

***

Entry 6:
First-principles (GGA-PBE) data for GaPt15 after structural relaxation, as listed in OQMD via LeMat-Bulk.

Structure (POSCAR):
```
GaPt15
1.0
5.530 0.000 0.000
0.000 3.950 0.000
-0.006 0.000 36.727
Ga Pt
2 30
Direct
0.125 0.250 0.286
0.875 0.750 0.714
0.122 0.250 0.744
0.123 0.250 0.825
0.125 0.250 0.058
0.125 0.250 0.136
0.125 0.250 0.214
0.125 0.250 0.903
0.125 0.250 0.981
0.372 0.750 0.256
0.373 0.750 0.175
0.375 0.750 0.019
0.375 0.750 0.097
0.375 0.750 0.787
0.375 0.750 0.864
0.375 0.750 0.942
0.376 0.750 0.711
0.624 0.250 0.289
0.625 0.250 0.058
0.625 0.250 0.136
0.625 0.250 0.213
0.625 0.250 0.903
0.625 0.250 0.981
0.627 0.250 0.825
0.628 0.250 0.744
0.875 0.750 0.019
0.875 0.750 0.097
0.875 0.750 0.786
0.875 0.750 0.864
0.875 0.750 0.942
0.877 0.750 0.175
0.878 0.750 0.256
```

Results
offset from the most stable computed form: 24 meV per atom

***

Entry 7:
First-principles (GGA-PBE) data for K2Hg2Te3 after structural relaxation, as listed in OQMD via LeMat-Bulk.

Structure (POSCAR):
```
K2Hg2Te3
1.0
3.339 1.928 6.556
-3.339 1.928 6.556
0.000 -3.855 6.556
K Hg Te
2 2 3
Direct
0.000 0.000 0.000
0.500 0.500 0.500
0.179 0.179 0.179
0.821 0.821 0.821
0.000 0.500 0.500
0.500 0.000 0.500
0.500 0.500 0.000
```

Results
offset from the most stable computed form: 117 meV per atom

***

Entry 8:
First-principles (GGA-PBE) data for RbInNi after structural relaxation, as listed in OQMD via LeMat-Bulk.

Structure (POSCAR):
```
RbInNi
1.0
0.000 3.739 3.739
3.739 0.000 3.739
3.739 3.739 0.000
Rb In Ni
1 1 1
Direct
0.000 0.000 0.000
0.750 0.750 0.750
0.250 0.250 0.250
```

Results
offset from the most stable computed form: 584 meV per atom

***

Entry 9:
First-principles (GGA-PBE) data for NdGaPO after structural relaxation, as listed in OQMD via LeMat-Bulk.

Structure (POSCAR):
```
NdGaPO
1.0
4.692 0.000 0.000
0.000 5.962 0.000
0.000 0.000 5.820
Nd Ga P O
2 2 2 2
Direct
0.000 0.249 0.000
0.000 0.751 0.500
0.500 0.333 0.577
0.500 0.667 0.077
0.000 0.241 0.502
0.000 0.759 0.002
0.500 0.346 0.947
0.500 0.654 0.447
```

Results
offset from the most stable computed form: 147 meV per atom

***

Entry 10:
First-principles (GGA-PBE) data for BaLiFeTc after structural relaxation, as listed in OQMD via LeMat-Bulk.

Structure (POSCAR):
```
BaLiFeTc
1.0
0.000 3.403 3.403
3.403 0.000 3.403
3.403 3.403 0.000
Ba Li Fe Tc
1 1 1 1
Direct
0.000 0.000 0.000
0.250 0.250 0.250
0.750 0.750 0.750
0.500 0.500 0.500
```

Results
offset from the most stable computed form: 17 meV per atom

***

Entry 11:
First-principles (GGA-PBE) data for Tb2Ga5Co3 after structural relaxation, as listed in OQMD via LeMat-Bulk.

Structure (POSCAR):
```
Tb2Ga5Co3
1.0
-4.812 6.204 2.756
4.812 -6.204 2.756
4.812 6.204 -2.756
Tb Ga Co
4 10 6
Direct
0.144 0.223 0.367
0.356 0.723 0.079
0.644 0.277 0.921
0.856 0.777 0.633
0.046 0.750 0.296
0.084 0.680 0.763
0.250 0.250 0.000
0.416 0.180 0.596
0.454 0.750 0.704
0.546 0.250 0.296
0.584 0.820 0.404
0.750 0.750 0.000
0.916 0.320 0.237
0.954 0.250 0.704
0.150 0.915 0.064
0.250 0.750 0.500
0.350 0.415 0.765
0.650 0.585 0.235
0.750 0.250 0.500
0.850 0.085 0.936
```

Results
uncorrected energy: -0.187 Ha/atom

***

Entry 12:
First-principles (GGA-PBE) data for KPuHg after structural relaxation, as listed in OQMD via LeMat-Bulk.

Structure (POSCAR):
```
KPuHg
1.0
0.000 3.900 3.900
3.900 0.000 3.900
3.900 3.900 0.000
K Pu Hg
1 1 1
Direct
0.000 0.000 0.000
0.500 0.500 0.500
0.250 0.250 0.250
```

Results
offset from the most stable computed form: 0 meV per atom